# DyCdRh2, optimized geometry, DFT PBE-GGA
data_DyCdRh2
_symmetry_space_group_name_H-M 'P 1'
_symmetry_Int_Tables_number 1
_cell_length_a 4.4839
_cell_length_b 4.4839
_cell_length_c 3.5893
_cell_angle_alpha 90.00
_cell_angle_beta 90.00
_cell_angle_gamma 90.00
loop_
_symmetry_equiv_pos_as_xyz
'x,y,z'
loop_
_atom_site_label
_atom_site_type_symbol
_atom_site_fract_x
_atom_site_fract_y
_atom_site_fract_z
Dy1 Dy 0.0000 0.0000 0.0000
Cd1 Cd 0.5000 0.5000 0.0000
Rh1 Rh 0.0000 0.5000 0.5000
Rh2 Rh 0.5000 0.0000 0.5000
# **Crystal system**: tetragonal
# **V**: 72.2 Å³ per cell
# **Space group**: P4/mmm (123)
# **Distance to the lowest polymorph of the same formula**: 0.00 eV/f.u.



# Al2InBiPb, optimized geometry, DFT PBE-GGA
data_Al2InBiPb
_symmetry_space_group_name_H-M 'P 1'
_symmetry_Int_Tables_number 1
_cell_length_a 5.3480
_cell_length_b 5.3480
_cell_length_c 5.7550
_cell_angle_alpha 90.00
_cell_angle_beta 90.00
_cell_angle_gamma 90.00
loop_
_symmetry_equiv_pos_as_xyz
'x,y,z'
loop_
_atom_site_label
_atom_site_type_symbol
_atom_site_fract_x
_atom_site_fract_y
_atom_site_fract_z
Al1 Al 0.0000 0.5000 0.0000
Al2 Al 0.5000 0.0000 0.0000
In1 In 0.0000 0.0000 0.5000
Bi1 Bi 0.5000 0.5000 0.5000
Pb1 Pb 0.0000 0.0000 0.0000
# **Crystal system**: tetragonal
# **V**: 164.6 Å³ per cell
# **Space group**: P4/mmm (123)
# **Total energy**: -14.124 eV/cell



# Ho2Tc2Ge2C, optimized geometry, DFT PBE-GGA
data_Ho2Tc2Ge2C
_symmetry_space_group_name_H-M 'P 1'
_symmetry_Int_Tables_number 1
_cell_length_a 5.8369
_cell_length_b 5.8369
_cell_length_c 6.9794
_cell_angle_alpha 123.42
_cell_angle_beta 123.42
_cell_angle_gamma 40.04
loop_
_symmetry_equiv_pos_as_xyz
'x,y,z'
loop_
_atom_site_label
_atom_site_type_symbol
_atom_site_fract_x
_atom_site_fract_y
_atom_site_fract_z
Ho1 Ho 0.0671 0.0671 0.2908
Ho2 Ho 0.9329 0.9329 0.7092
Tc1 Tc 0.2980 0.2980 0.9138
Tc2 Tc 0.7020 0.7020 0.0862
Ge1 Ge 0.3538 0.3538 0.3224
Ge2 Ge 0.6462 0.6462 0.6776
C1 C 0.5000 0.5000 0.0000
# **Crystal system**: monoclinic
# **V**: 123.9 Å³ per cell
# **Space group**: C2/m (12)
# **Total energy**: -52.525 eV/cell



# Nd12Cd2In5, optimized geometry, DFT PBE-GGA
data_Nd12Cd2In5
_symmetry_space_group_name_H-M 'P 1'
_symmetry_Int_Tables_number 1
_cell_length_a 9.5801
_cell_length_b 9.5801
_cell_length_c 9.3702
_cell_angle_alpha 97.43
_cell_angle_beta 97.43
_cell_angle_gamma 46.17
loop_
_symmetry_equiv_pos_as_xyz
'x,y,z'
loop_
_atom_site_label
_atom_site_type_symbol
_atom_site_fract_x
_atom_site_fract_y
_atom_site_fract_z
Nd1 Nd 0.0081 0.0081 0.1865
Nd2 Nd 0.0977 0.5741 0.5791
Nd3 Nd 0.0994 0.5959 0.9994
Nd4 Nd 0.4042 0.9006 0.0006
Nd5 Nd 0.4259 0.9023 0.4209
Nd6 Nd 0.4599 0.4599 0.3076
Nd7 Nd 0.5401 0.5401 0.6924
Nd8 Nd 0.5741 0.0977 0.5791
Nd9 Nd 0.5959 0.0994 0.9994
Nd10 Nd 0.9006 0.4042 0.0006
Nd11 Nd 0.9023 0.4259 0.4209
Nd12 Nd 0.9919 0.9919 0.8135
Cd1 Cd 0.1767 0.8233 0.5000
Cd2 Cd 0.8233 0.1767 0.5000
In1 In 0.1945 0.1945 0.7316
In2 In 0.2707 0.2707 0.2515
In3 In 0.5000 0.5000 0.0000
In4 In 0.7293 0.7293 0.7485
In5 In 0.8055 0.8055 0.2684
# **Crystal system**: monoclinic
# **V**: 614.2 Å³ per cell
# **Space group**: C2/m (12)
# **Total energy**: -75.850 eV/cell



# YTaOs, optimized geometry, DFT PBE-GGA
data_YTaOs
_symmetry_space_group_name_H-M 'P 1'
_symmetry_Int_Tables_number 1
_cell_length_a 7.7438
_cell_length_b 7.7438
_cell_length_c 7.7438
_cell_angle_alpha 147.76
_cell_angle_beta 147.76
_cell_angle_gamma 46.24
loop_
_symmetry_equiv_pos_as_xyz
'x,y,z'
loop_
_atom_site_label
_atom_site_type_symbol
_atom_site_fract_x
_atom_site_fract_y
_atom_site_fract_z
Y1 Y 0.1788 0.1788 0.0000
Y2 Y 0.8212 0.8212 0.0000
Ta1 Ta 0.0000 0.5000 0.5000
Ta2 Ta 0.5000 0.0000 0.5000
Os1 Os 0.3917 0.3917 0.0000
Os2 Os 0.6083 0.6083 0.0000
# **Crystal system**: tetragonal
# **V**: 131.7 Å³ per cell
# **Space group**: I4/mmm (139)
# **Distance to the lowest polymorph of the same formula**: 0.45 eV/f.u.



# AlBiAu2, optimized geometry, DFT PBE-GGA
data_AlBiAu2
_symmetry_space_group_name_H-M 'P 1'
_symmetry_Int_Tables_number 1
_cell_length_a 9.1701
_cell_length_b 9.1701
_cell_length_c 9.1701
_cell_angle_alpha 150.05
_cell_angle_beta 150.05
_cell_angle_gamma 42.87
loop_
_symmetry_equiv_pos_as_xyz
'x,y,z'
loop_
_atom_site_label
_atom_site_type_symbol
_atom_site_fract_x
_atom_site_fract_y
_atom_site_fract_z
Al1 Al 0.0000 0.0000 0.0000
Al2 Al 0.7500 0.2500 0.5000
Bi1 Bi 0.2500 0.7500 0.5000
Bi2 Bi 0.5000 0.5000 0.0000
Au1 Au 0.0547 0.6250 0.9297
Au2 Au 0.3750 0.3047 0.4297
Au3 Au 0.6953 0.1250 0.0703
Au4 Au 0.8750 0.9453 0.5703
# **Crystal system**: tetragonal
# **V**: 191.7 Å³ per cell
# **Space group**: I-42d (122)
# **Distance to the lowest polymorph of the same formula**: 0.54 eV/f.u.